A.
Below is GePb2S4 at its PBEsol-relaxed geometry, with properties calculated at the meta-GGA SCAN level.

- space-group type = I-42d (122)

Lattice parameters (Å, degrees): 12.170 12.170 12.170 110.05 110.05 108.31
Fractional coordinates of all 56 atoms:
Ge  0.071  0.824  0.202
Ge  0.128  0.426  0.747
Ge  0.131  0.929  0.753
Ge  0.176  0.378  0.247
Ge  0.574  0.321  0.702
Ge  0.619  0.872  0.298
Ge  0.622  0.869  0.798
Ge  0.679  0.381  0.253
Pb  0.114  0.614  0.500
Pb  0.136  0.125  0.511
Pb  0.212  0.625  0.087
Pb  0.364  0.364  0.000
Pb  0.375  0.138  0.263
Pb  0.375  0.462  0.587
Pb  0.375  0.864  0.989
Pb  0.386  0.886  0.500
Pb  0.538  0.125  0.913
Pb  0.614  0.625  0.489
Pb  0.636  0.636  0.000
Pb  0.862  0.125  0.237
Pb  0.875  0.112  0.737
Pb  0.875  0.386  0.011
Pb  0.875  0.788  0.413
Pb  0.888  0.625  0.763
S  0.067  0.653  0.235
S  0.096  0.395  0.546
S  0.106  0.806  0.031
S  0.124  0.241  0.748
S  0.125  0.743  0.752
S  0.145  0.346  0.046
S  0.168  0.933  0.586
S  0.194  0.225  0.300
S  0.257  0.009  0.383
S  0.300  0.099  0.954
S  0.332  0.597  0.914
S  0.347  0.582  0.414
S  0.403  0.317  0.735
S  0.418  0.832  0.765
S  0.450  0.904  0.299
S  0.493  0.375  0.252
S  0.556  0.356  0.531
S  0.582  0.668  0.265
S  0.605  0.151  0.701
S  0.625  0.876  0.117
S  0.626  0.875  0.617
S  0.644  0.175  0.200
S  0.654  0.700  0.799
S  0.683  0.418  0.086
S  0.759  0.507  0.883
S  0.775  0.075  0.969
S  0.825  0.025  0.469
S  0.849  0.550  0.454
S  0.901  0.855  0.201
S  0.925  0.894  0.700
S  0.975  0.444  0.800
S  0.991  0.374  0.248

B.
Below is GePb2S4 at its PBEsol-relaxed geometry, with properties calculated at the meta-GGA SCAN level.

- space-group type = P2_1/c (14)

Lattice parameters (Å, degrees): 7.860 9.166 10.760 90.00 114.75 90.00
Fractional coordinates of all 28 atoms:
Ge  0.216  0.189  0.005
Ge  0.216  0.311  0.505
Ge  0.784  0.689  0.495
Ge  0.784  0.811  0.995
Pb  0.103  0.555  0.853
Pb  0.103  0.945  0.353
Pb  0.455  0.667  0.656
Pb  0.455  0.833  0.156
Pb  0.545  0.167  0.844
Pb  0.545  0.333  0.344
Pb  0.897  0.055  0.647
Pb  0.897  0.445  0.147
S  0.060  0.702  0.102
S  0.060  0.798  0.602
S  0.249  0.014  0.874
S  0.249  0.486  0.374
S  0.281  0.094  0.209
S  0.281  0.406  0.709
S  0.424  0.133  0.555
S  0.424  0.367  0.055
S  0.576  0.633  0.945
S  0.576  0.867  0.445
S  0.719  0.594  0.291
S  0.719  0.906  0.791
S  0.751  0.514  0.626
S  0.751  0.986  0.126
S  0.940  0.202  0.398
S  0.940  0.298  0.898

Of them, B has the highest stability.

A.
Below is ScGePd3 at its PBEsol-relaxed geometry, with properties calculated at the meta-GGA SCAN level.

- space-group type = Pm-3m (221)

Lattice parameters (Å, degrees): 4.560 4.560 4.560 90.00 90.00 90.00
Fractional coordinates of all 5 atoms:
Sc  0.000  0.000  0.000
Ge  0.500  0.500  0.500
Pd  0.000  0.500  0.500
Pd  0.500  0.000  0.500
Pd  0.500  0.500  0.000

B.
Below is ScGePd3 at its PBEsol-relaxed geometry, with properties calculated at the meta-GGA SCAN level.

- space-group type = Pm-3m (221)

Lattice parameters (Å, degrees): 4.689 4.689 4.689 90.00 90.00 90.00
Fractional coordinates of all 5 atoms:
Sc  0.000  0.000  0.000
Ge  0.500  0.500  0.500
Pd  0.000  0.000  0.500
Pd  0.000  0.500  0.000
Pd  0.500  0.000  0.000

Of them, A has the highest stability.

A.
Below is Ge3Ru2 at its PBEsol-relaxed geometry, with properties calculated at the meta-GGA SCAN level.

- space-group type = Pbcn (60)

Lattice parameters (Å, degrees): 11.389 9.213 5.694 90.00 90.00 90.00
Fractional coordinates of all 40 atoms:
Ge  0.073  0.217  0.040
Ge  0.073  0.783  0.540
Ge  0.134  0.398  0.600
Ge  0.134  0.602  0.100
Ge  0.175  0.067  0.413
Ge  0.175  0.933  0.913
Ge  0.325  0.433  0.913
Ge  0.325  0.567  0.413
Ge  0.366  0.102  0.100
Ge  0.366  0.898  0.600
Ge  0.427  0.283  0.540
Ge  0.427  0.717  0.040
Ge  0.573  0.283  0.960
Ge  0.573  0.717  0.460
Ge  0.634  0.102  0.400
Ge  0.634  0.898  0.900
Ge  0.675  0.433  0.587
Ge  0.675  0.567  0.087
Ge  0.825  0.067  0.087
Ge  0.825  0.933  0.587
Ge  0.866  0.398  0.900
Ge  0.866  0.602  0.400
Ge  0.927  0.217  0.460
Ge  0.927  0.783  0.960
Ru  0.000  0.044  0.750
Ru  0.000  0.427  0.250
Ru  0.000  0.573  0.750
Ru  0.000  0.956  0.250
Ru  0.247  0.187  0.760
Ru  0.247  0.813  0.260
Ru  0.253  0.313  0.260
Ru  0.253  0.687  0.760
Ru  0.500  0.073  0.750
Ru  0.500  0.456  0.250
Ru  0.500  0.544  0.750
Ru  0.500  0.927  0.250
Ru  0.747  0.313  0.240
Ru  0.747  0.687  0.740
Ru  0.753  0.187  0.740
Ru  0.753  0.813  0.240

B.
Below is Ge3Ru2 at its PBEsol-relaxed geometry, with properties calculated at the meta-GGA SCAN level.

- space-group type = P-4c2 (116)

Lattice parameters (Å, degrees): 5.707 5.707 9.215 90.00 90.00 90.00
Fractional coordinates of all 20 atoms:
Ge  0.150  0.283  0.415
Ge  0.150  0.717  0.915
Ge  0.283  0.150  0.085
Ge  0.283  0.850  0.585
Ge  0.328  0.328  0.750
Ge  0.328  0.672  0.250
Ge  0.672  0.328  0.250
Ge  0.672  0.672  0.750
Ge  0.717  0.150  0.585
Ge  0.717  0.850  0.085
Ge  0.850  0.283  0.915
Ge  0.850  0.717  0.415
Ru  0.000  0.000  0.250
Ru  0.000  0.000  0.750
Ru  0.000  0.500  0.125
Ru  0.000  0.500  0.625
Ru  0.500  0.000  0.375
Ru  0.500  0.000  0.875
Ru  0.500  0.500  0.000
Ru  0.500  0.500  0.500

Of them, A has the highest stability.

A.
Below is SnGeS3 at its PBEsol-relaxed geometry, with properties calculated at the meta-GGA SCAN level.

- space-group type = P2_1/c (14)

Lattice parameters (Å, degrees): 7.204 10.026 6.820 90.00 105.18 90.00
Fractional coordinates of all 20 atoms:
Sn  0.127  0.086  0.270
Sn  0.127  0.414  0.770
Sn  0.873  0.586  0.230
Sn  0.873  0.914  0.730
Ge  0.322  0.707  0.498
Ge  0.322  0.793  0.998
Ge  0.678  0.207  0.002
Ge  0.678  0.293  0.502
S  0.053  0.677  0.921
S  0.053  0.823  0.421
S  0.224  0.501  0.411
S  0.224  0.999  0.911
S  0.483  0.213  0.684
S  0.483  0.287  0.184
S  0.517  0.713  0.816
S  0.517  0.787  0.316
S  0.776  0.001  0.089
S  0.776  0.499  0.589
S  0.947  0.177  0.579
S  0.947  0.323  0.079

B.
Below is SnGeS3 at its PBEsol-relaxed geometry, with properties calculated at the meta-GGA SCAN level.

- space-group type = Pm-3m (221)

Lattice parameters (Å, degrees): 4.675 4.675 4.675 90.00 90.00 90.00
Fractional coordinates of all 5 atoms:
Sn  0.000  0.000  0.000
Ge  0.500  0.500  0.500
S  0.000  0.500  0.500
S  0.500  0.000  0.500
S  0.500  0.500  0.000

Of them, A has the highest stability.